NiSe2 at its PBEsol-relaxed geometry, computed with meta-GGA SCAN.

Cell: 5.828 5.828 5.828 Å, 90.00 90.00 90.00°
Sites, in units of the cell vectors:
Se 0.127 0.627 0.873
Se 0.627 0.873 0.127
Se 0.127 0.873 0.373
Se 0.627 0.627 0.627
Se 0.873 0.127 0.627
Se 0.373 0.373 0.373
Se 0.873 0.373 0.127
Se 0.373 0.127 0.873
Ni 0.500 0.000 0.500
Ni 0.000 0.500 0.500
Ni 0.500 0.500 0.000
Ni 0.000 0.000 0.000

Summary:
Crystal system: cubic
E_form (uncorrected) in eV/atom: -0.224
N(E_F) in states/eV/cell: 6.7
Uncorrected energy in eV/atom: -19.001
Volume in A^3/atom: 16.50